DFT (GGA+U) results for SrZnCo2F after structural relaxation.

## Properties
Calculated density, Mg/m³: 4.90
Space group: P4/mmm
Final energy, eV/cell: -15.855
N(E_F), states/eV/cell: 2.270

The structure in POSCAR format:
```
SrZnCo2F
1.0
4.527 0.000 0.000
0.000 4.789 0.000
0.000 0.000 4.527
Co Sr Zn F
2 1 1 1
Cartesian
2.264 0.000 0.000
0.000 0.000 2.264
0.000 2.395 0.000
2.264 2.395 2.264
0.000 0.000 0.000
```